A geometry-optimized Ac3IrBr3 structure, computed with PBE.

The space group is P2_1/m (No. 11) and the conventional cell measures 9.6260, 4.3705 and 12.8778 Å, with angles of 90.00, 94.51 and 90.00 degrees. The asymmetric unit holds Ac at (0.0878, 0.2500, 0.3919), Ac at (0.1350, 0.2500, 0.8526), Ac at (0.3343, 0.7500, 0.6299), Ir at (0.1268, 0.2500, 0.6280), Br at (0.1094, 0.2500, 0.1126), Br at (0.3792, 0.7500, 0.8825) and Br at (0.3850, 0.7500, 0.3802).

The final energy is -5.18 eV/atom. As for the raw formation energy: -1.44 eV/atom.

***

A geometry-optimized La4Pr5Tm structure, computed with PBE.

The space group is C2/m (No. 12) and the conventional cell measures 17.6248, 3.6328 and 11.8970 Å, with angles of 90.00, 109.25 and 90.00 degrees. The asymmetric unit holds La at (0.0900, 0.0000, 0.2981), La at (0.1057, 0.5000, 0.7967), Pr at (0.0000, 0.5000, 0.0000), Pr at (0.1919, 0.0000, 0.0873), Pr at (0.2040, 0.0000, 0.6059) and Tm at (0.0000, 0.5000, 0.5000).

The final energy is -4.75 eV/atom. The value obtained for the offset from the most stable computed form is 0.0340 eV per atom. The formation enthalpy at 0 K comes out at 0.055 eV per atom.

***

A geometry-optimized Sm6Ho3Mg structure, computed with PBE.

The space group is Cmc2_1 (No. 36) and the conventional cell measures 9.5066, 14.7632 and 9.1766 Å, with angles of 90.00, 90.00 and 90.00 degrees. The asymmetric unit holds Sm at (0.0000, 0.0616, 0.0000), Sm at (0.0000, 0.2969, 0.1318), Sm at (0.1753, 0.3446, 0.5171), Sm at (0.2181, 0.0742, 0.6817), Ho at (0.0000, 0.4658, 0.8557), Ho at (0.1765, 0.1429, 0.3406) and Mg at (0.0000, 0.2428, 0.7845).

The final energy is -4.24 eV/atom. The value obtained for the offset from the most stable computed form is 0.1062 eV per atom. The formation enthalpy at 0 K comes out at 0.122 eV per atom.

***

A geometry-optimized Y2ErPaAs4 structure, computed with PBE.

The space group is P2/m (No. 10) and the conventional cell measures 7.0925, 4.1096 and 7.1024 Å, with angles of 90.00, 109.48 and 90.00 degrees. The asymmetric unit holds Y at (0.0000, 0.0000, 0.0000), Y at (0.5000, 0.5000, 0.0000), Er at (0.0000, 0.5000, 0.5000), Pa at (0.5000, 0.0000, 0.5000), As at (0.2504, 0.0000, 0.7453) and As at (0.2513, 0.5000, 0.2533).

The final energy is -7.12 eV/atom. The formation enthalpy at 0 K comes out at -1.423 eV per atom.

***

A geometry-optimized BaTl3Bi structure, computed with PBE.

The space group is Cmmm (No. 65) and the conventional cell measures 5.1393, 31.8738 and 4.6368 Å, with angles of 90.00, 90.00 and 90.00 degrees. The asymmetric unit holds Ba at (0.0000, 0.1682, 0.0000), Tl at (0.0000, 0.0540, 0.5000), Tl at (0.0000, 0.2736, 0.5000), Tl at (0.0000, 0.4455, 0.0000) and Bi at (0.0000, 0.3718, 0.5000).

The final energy is -2.87 eV/atom. The value obtained for the offset from the most stable computed form is 0.0000 eV per atom. The formation enthalpy at 0 K comes out at -0.286 eV per atom.

***

A geometry-optimized CoCuAu2 structure, computed with PBE.

The space group is Pmm2 (No. 25) and the conventional cell measures 2.7741, 4.5690 and 4.7158 Å, with angles of 90.00, 90.00 and 90.00 degrees. The asymmetric unit holds Co at (0.0000, 0.0000, 0.0000), Cu at (0.0000, 0.5000, 0.6276), Au at (0.5000, 0.0000, 0.5082) and Au at (0.5000, 0.5000, 0.1144).

The final energy is -4.30 eV/atom. The formation enthalpy at 0 K comes out at 0.135 eV per atom.

***

A geometry-optimized Ce2CoNi3P4 structure, computed with PBE.

The space group is P-4m2 (No. 115) and the conventional cell measures 4.0470, 4.0470 and 8.9983 Å, with angles of 90.00, 90.00 and 90.00 degrees. The asymmetric unit holds Ce at (0.0000, 0.5000, 0.2499), Co at (0.0000, 0.0000, 0.5000), Ni at (0.0000, 0.5000, 0.8857), Ni at (0.5000, 0.5000, 0.5000), P at (0.0000, 0.0000, 0.0000), P at (0.0000, 0.5000, 0.6288) and P at (0.5000, 0.5000, 0.0000).

The final energy is -6.79 eV/atom. The formation enthalpy at 0 K comes out at -0.998 eV per atom.

***

A geometry-optimized NaZrI2N structure, computed with PBE.

The space group is P4/mmm (No. 123) and the conventional cell measures 6.0257, 6.0257 and 4.0737 Å, with angles of 90.00, 90.00 and 90.00 degrees. The asymmetric unit holds Na at (0.0000, 0.0000, 0.0000), Zr at (0.5000, 0.5000, 0.5000), I at (0.0000, 0.5000, 0.5000) and N at (0.5000, 0.5000, 0.0000).

The final energy is -4.87 eV/atom. The value obtained for the offset from the most stable computed form is 0.0000 eV per atom. As for the raw formation energy: -0.61 eV/atom.

***

V values, unit Å³ per atom, following the record order: 38.579 35.957 32.198 24.396 37.978 14.943 14.737 29.582.